w:
This record from the Alexandria database describes Tc3NiBi at its PBEsol-relaxed geometry. The functional is SCAN.

Output
Total magnetization   4.78 μB/f.u.
Calculated density   10.5 g cm⁻³

Cell lengths 4.455, 4.455, 4.455 Å; angles 90.00, 90.00, 90.00 degrees
Fractional coordinates of all 5 atoms:
Tc 0.000 0.000 0.500
Tc 0.000 0.500 0.000
Tc 0.500 0.000 0.000
Ni 0.000 0.000 0.000
Bi 0.500 0.500 0.500

x:
This record from the Alexandria database describes Tc3NiBi at its PBEsol-relaxed geometry. The functional is SCAN.

Output
Total magnetization   8.02 μB/f.u.
Calculated density   7.8 g cm⁻³

Cell lengths 4.930, 4.930, 4.930 Å; angles 90.00, 90.00, 90.00 degrees
Fractional coordinates of all 5 atoms:
Tc 0.000 0.000 0.500
Tc 0.000 0.500 0.000
Tc 0.500 0.000 0.000
Ni 0.500 0.500 0.500
Bi 0.000 0.000 0.000

Most stable: w. Least stable: x.